1.
An optimized crystal structure of AcZn2Cd, computed with GGA-PBE.

The structure in POSCAR format:
```
AcZn2Cd
1.0
-1.040 2.673 2.324
-0.472 -2.506 2.670
6.836 0.886 2.040
Cd Zn Ac
1 2 1
Direct
0.500 0.500 0.000
0.000 0.000 0.799
0.000 0.000 0.201
0.500 0.500 0.500
```

## Properties
The formation energy comes out at -0.36 eV per formula unit. The value obtained for the density of states at the Fermi level is 3.4 states/eV/cell.

***

2.
An optimized crystal structure of AcMgGeAu, computed with GGA-PBE.

The structure in POSCAR format:
```
AcMgGeAu
1.0
5.215 0.000 0.000
2.607 4.516 0.000
2.607 1.505 4.258
Ge Mg Ac Au
1 1 1 1
Direct
0.750 0.750 0.750
0.000 0.000 0.000
0.500 0.500 0.500
0.250 0.250 0.250
```

## Properties
The formation energy comes out at -2.29 eV per formula unit. The value obtained for the density of states at the Fermi level is 0.9 states/eV/cell.

***

3.
An optimized crystal structure of LiCuNi2, computed with GGA-PBE.

The structure in POSCAR format:
```
LiCuNi2
1.0
4.296 0.000 0.000
0.000 4.296 0.000
-2.148 -2.148 8.274
Cu Ni Li
2 4 2
Direct
0.250 0.750 0.500
0.500 0.500 0.000
0.875 0.625 0.250
0.375 0.625 0.750
0.375 0.625 0.250
0.375 0.125 0.750
0.750 0.250 0.500
0.000 0.000 0.000
```

## Properties
The formation energy comes out at 2.97 eV per formula unit. The value obtained for the density of states at the Fermi level is 11.1 states/eV/cell.

***

4.
An optimized crystal structure of CdRhW2, computed with GGA-PBE.

The structure in POSCAR format:
```
CdRhW2
1.0
3.219 0.000 0.000
0.000 3.219 0.000
0.000 0.000 6.492
Rh Cd W
1 1 2
Direct
0.500 0.500 0.767
0.000 0.000 0.508
0.000 0.000 0.005
0.500 0.500 0.220
```

## Properties
The formation energy comes out at 1.17 eV per formula unit. The value obtained for the density of states at the Fermi level is 6.2 states/eV/cell.

***

5.
An optimized crystal structure of CrHgRh2, computed with GGA-PBE.

The structure in POSCAR format:
```
CrHgRh2
1.0
-2.615 -3.571 -0.785
1.246 -4.064 1.464
-2.222 -1.948 3.388
Hg Rh Cr
1 2 1
Direct
0.750 0.750 0.750
0.250 0.250 0.250
0.000 0.000 0.000
0.500 0.500 0.500
```

## Properties
The formation energy comes out at 1.35 eV per formula unit. The value obtained for the density of states at the Fermi level is 5.7 states/eV/cell.

***

6.
An optimized crystal structure of Hf2MgPtN, computed with GGA-PBE.

The structure in POSCAR format:
```
Hf2MgPtN
1.0
4.399 0.000 0.000
0.000 4.399 0.000
0.000 0.000 4.105
Pt N Mg Hf
1 1 1 2
Direct
0.500 0.500 0.500
0.000 0.000 0.000
0.000 0.000 0.500
0.500 0.000 0.000
0.000 0.500 0.000
```

## Properties
As for the energy relative to the elements, uncorrected: -1.02 eV/atom. The value obtained for the density of states at the Fermi level is 3.4 states/eV/cell.

***

7.
An optimized crystal structure of Tc2IrAu, computed with GGA-PBE.

The structure in POSCAR format:
```
Tc2IrAu
1.0
4.454 0.000 0.000
2.227 3.857 0.000
2.227 1.286 3.636
Ir Au Tc
1 1 2
Direct
0.750 0.750 0.750
0.500 0.500 0.500
0.000 0.000 0.000
0.250 0.250 0.250
```

## Properties
The formation energy comes out at 2.03 eV per formula unit. The value obtained for the density of states at the Fermi level is 5.8 states/eV/cell. As for the energy relative to the lowest polymorph listed for this composition: 1.610 eV/f.u.

***

8.
An optimized crystal structure of Li2IrRh, computed with GGA-PBE.

The structure in POSCAR format:
```
Li2IrRh
1.0
-2.323 1.303 0.368
0.242 -2.486 0.997
3.242 3.521 7.989
Ir Li Rh
1 2 1
Direct
0.500 0.500 0.750
0.500 0.500 0.269
0.000 0.000 0.982
0.000 0.000 0.500
```

## Properties
The formation energy comes out at 0.29 eV per formula unit. The value obtained for the density of states at the Fermi level is 5.9 states/eV/cell. As for the energy relative to the lowest polymorph listed for this composition: 1.159 eV/f.u.

***

9.
An optimized crystal structure of VZn3Ge, computed with GGA-PBE.

The structure in POSCAR format:
```
VZn3Ge
1.0
4.839 0.000 0.000
0.000 4.839 0.000
0.000 0.000 4.839
Zn Ge V
3 1 1
Direct
0.000 0.000 0.500
0.500 0.000 0.000
0.000 0.500 0.000
0.500 0.500 0.500
0.000 0.000 0.000
```

## Properties
The formation energy comes out at 4.70 eV per formula unit. The value obtained for the density of states at the Fermi level is 5.1 states/eV/cell. As for the energy relative to the lowest polymorph listed for this composition: 0.299 eV/f.u.

***

10.
An optimized crystal structure of Pr2ThGa2Cu2, computed with GGA-PBE.

The structure in POSCAR format:
```
Pr2ThGa2Cu2
1.0
-2.206 -0.968 3.733
-2.285 -3.798 0.309
6.315 -6.005 4.817
Th Ga Cu Pr
1 2 2 2
Direct
0.000 0.000 0.000
0.267 0.267 0.198
0.733 0.733 0.802
0.394 0.394 0.817
0.606 0.606 0.183
0.125 0.125 0.626
0.875 0.875 0.374
```

## Properties
The formation energy comes out at -2.47 eV per formula unit. The value obtained for the density of states at the Fermi level is 5.1 states/eV/cell.

***

11.
An optimized crystal structure of Li2IBr, computed with GGA-PBE.

The structure in POSCAR format:
```
Li2IBr
1.0
-2.023 3.891 0.152
0.219 -2.500 3.599
6.115 3.111 1.788
Br I Li
1 1 2
Direct
0.667 0.333 0.121
0.000 0.000 0.626
0.667 0.333 0.479
0.000 0.000 0.024
```

## Properties
As for the energy relative to the elements, uncorrected: -1.37 eV/atom. The value obtained for the density of states at the Fermi level is 0.0 states/eV/cell. As for the energy relative to the lowest polymorph listed for this composition: 0.015 eV/f.u.

***

12.
An optimized crystal structure of K3ReCl8, computed with GGA-PBE.

The structure in POSCAR format:
```
K3ReCl8
1.0
7.728 0.071 0.000
-3.561 6.860 0.000
0.000 0.000 9.131
K Cl Re
3 8 1
Direct
0.500 0.500 0.000
0.500 0.000 0.760
0.000 0.500 0.240
0.296 0.292 0.681
0.729 0.271 0.000
0.292 0.296 0.319
0.678 0.322 0.500
0.708 0.704 0.319
0.704 0.708 0.681
0.271 0.729 0.000
0.322 0.678 0.500
0.500 0.500 0.500
```

## Properties
As for the energy relative to the elements, uncorrected: -1.22 eV/atom. The value obtained for the density of states at the Fermi level is 13.4 states/eV/cell.

***

13.
An optimized crystal structure of YTiHg2, computed with GGA-PBE.

The structure in POSCAR format:
```
YTiHg2
1.0
0.000 3.563 3.563
3.563 0.000 3.563
3.563 3.563 0.000
Y Hg Ti
1 2 1
Direct
0.500 0.500 0.500
0.750 0.750 0.750
0.250 0.250 0.250
0.000 0.000 0.000
```

## Properties
The formation energy comes out at -0.76 eV per formula unit. The value obtained for the density of states at the Fermi level is 6.7 states/eV/cell. As for the energy relative to the lowest polymorph listed for this composition: 0.034 eV/f.u.

***

14.
An optimized crystal structure of HfGe2Te8, computed with GGA-PBE.

The structure in POSCAR format:
```
HfGe2Te8
1.0
7.761 0.000 0.000
0.000 7.894 0.000
0.000 -3.947 6.836
Hf Te Ge
1 8 2
Direct
0.500 0.000 0.000
0.830 0.333 0.667
0.774 0.279 0.139
0.774 0.861 0.721
0.226 0.139 0.861
0.774 0.861 0.139
0.170 0.667 0.333
0.226 0.721 0.861
0.226 0.139 0.279
0.836 0.667 0.333
0.164 0.333 0.667
```

## Properties
As for the energy relative to the elements, uncorrected: 0.13 eV/atom. The value obtained for the density of states at the Fermi level is 5.6 states/eV/cell.

***

15.
An optimized crystal structure of PrB2Os2, computed with GGA-PBE.

The structure in POSCAR format:
```
PrB2Os2
1.0
4.029 0.000 0.000
0.000 4.029 0.000
-2.014 -2.014 5.002
Os B Pr
2 2 1
Direct
0.750 0.250 0.500
0.250 0.750 0.500
0.681 0.681 0.363
0.319 0.319 0.637
0.000 0.000 0.000
```

## Properties
The formation energy comes out at -1.71 eV per formula unit. The value obtained for the density of states at the Fermi level is 3.7 states/eV/cell. As for the energy relative to the lowest polymorph listed for this composition: 0.390 eV/f.u.

***

no.,VASP energy (eV per atom)
1,-1.982
2,-3.971
3,-3.650
4,-8.251
5,-5.820
6,-8.191
7,-7.710
8,-4.937
9,-2.571
10,-4.814
11,-3.134
12,-3.758
13,-3.931
14,-3.903
15,-8.461